1.
## Dy2ZnBr (GGA-PBE)

Data for an optimized crystal structure of Dy2ZnBr.

Raw total energy   -14.7 eV/cell
Formation energy (no corrections)   -0.637 eV/atom
E above lowest polymorph   1 meV per atom

abc: 3.709 3.709 8.737
angles: 77.75 77.75 60.00
Sites, in units of the cell vectors:
Dy 0.255 0.255 0.236
Dy 0.079 0.079 0.763
Br 0.499 0.499 0.502
Zn 0.667 0.667 0.999

2.
## Dy2ZnBr (GGA-PBE)

Data for an optimized crystal structure of Dy2ZnBr.

Raw total energy   -14.7 eV/cell
Formation energy (no corrections)   -0.638 eV/atom
E above lowest polymorph   0 meV per atom

abc: 3.995 3.995 7.798
angles: 75.16 75.16 60.00
Sites, in units of the cell vectors:
Br 0.500 0.500 0.500
Dy 0.742 0.742 0.774
Dy 0.258 0.258 0.226
Zn 0.000 0.000 0.000

3.
## DyZrBr (GGA-PBE)

Data for an optimized crystal structure of DyZrBr.

Raw total energy   -33.7 eV/cell
Formation energy (no corrections)   -0.672 eV/atom

abc: 3.575 3.575 16.120
angles: 102.87 102.62 59.98
Site moments in Bohr magnetons follow the coordinates.
Sites, in units of the cell vectors:
Zr 0.072 0.547 0.294  0.01
Br 0.930 0.416 0.592  0.00
Br 0.782 0.235 0.841  0.00
Dy 0.514 0.994 0.462  -0.15
Dy 0.532 0.989 0.970  0.23
Zr 0.309 0.771 0.140  0.06

4.
## Dy2ZrBr (GGA-PBE)

Data for an optimized crystal structure of Dy2ZrBr.

Raw total energy   -19.8 eV/cell
Formation energy (no corrections)   -0.106 eV/atom

abc: 3.357 3.357 11.256
angles: 81.42 81.42 60.00
Sites, in units of the cell vectors:
Br 0.500 0.500 0.500
Zr 0.000 0.000 0.000
Dy 0.905 0.905 0.285
Dy 0.095 0.095 0.715

5.
## ErBr (GGA-PBE)

Data for an optimized crystal structure of ErBr.

Raw total energy   -17.0 eV/cell
Formation energy (no corrections)   -1.131 eV/atom

abc: 3.691 3.691 9.900
angles: 68.18 90.00 90.00
Sites, in units of the cell vectors:
Br 0.250 0.953 0.798
Er 0.250 0.378 0.372
Er 0.750 0.622 0.628
Br 0.750 0.047 0.202

6.
## Er4Br (GGA-PBE)

Data for an optimized crystal structure of Er4Br.

Raw total energy   -20.6 eV/cell
Formation energy (no corrections)   -0.134 eV/atom

abc: 5.368 5.368 5.368
angles: 90.00 90.00 90.00
Sites, in units of the cell vectors:
Er 0.000 0.000 0.000
Br 0.500 0.500 0.500
Er 0.000 0.500 0.500
Er 0.500 0.000 0.500
Er 0.500 0.500 0.000

7.
## ErBr3 (GGA-PBE)

Data for an optimized crystal structure of ErBr3.

Raw total energy   -16.9 eV/cell
Formation energy (no corrections)   -1.818 eV/atom

abc: 3.710 7.283 7.184
angles: 120.46 104.97 90.00
Sites, in units of the cell vectors:
Er 0.000 0.042 0.000
Br 0.346 0.743 0.692
Br 0.500 0.331 0.000
Br 0.654 0.051 0.308

8.
## ErBrF2 (GGA-PBE)

Data for an optimized crystal structure of ErBrF2.

Raw total energy   -46.5 eV/cell
Formation energy (no corrections)   -3.322 eV/atom
E above lowest polymorph   0 meV per atom

abc: 3.726 5.613 6.953
angles: 90.00 90.00 109.38
Sites, in units of the cell vectors:
Br 0.043 0.086 0.750
F 0.689 0.378 0.071
F 0.689 0.378 0.429
F 0.311 0.622 0.929
F 0.311 0.622 0.571
Er 0.756 0.512 0.750
Er 0.244 0.488 0.250
Br 0.957 0.914 0.250

9.
## ErBrF2 (GGA-PBE)

Data for an optimized crystal structure of ErBrF2.

Raw total energy   -22.6 eV/cell
Formation energy (no corrections)   -3.161 eV/atom
E above lowest polymorph   161 meV per atom

abc: 3.878 3.878 5.709
angles: 70.15 70.15 60.00
Sites, in units of the cell vectors:
Br 0.500 0.500 0.500
Er 0.000 0.000 0.000
F 0.698 0.698 0.907
F 0.302 0.302 0.093

10.
## ErFeBr (GGA-PBE)

Data for an optimized crystal structure of ErFeBr.

Raw total energy   -35.1 eV/cell
Formation energy (no corrections)   -0.942 eV/atom

abc: 3.840 3.840 11.737
angles: 80.58 80.58 60.00
Site moments in Bohr magnetons follow the coordinates.
Sites, in units of the cell vectors:
Fe 0.164 0.164 0.507  1.00
Er 0.443 0.443 0.670  -0.16
Br 0.722 0.722 0.835  -0.01
Er 0.557 0.557 0.330  -0.16
Fe 0.836 0.836 0.493  1.00
Br 0.278 0.278 0.165  -0.01

11.
## Er4FeBr5 (GGA-PBE)

Data for an optimized crystal structure of Er4FeBr5.

Raw total energy   -47.3 eV/cell
Formation energy (no corrections)   -1.219 eV/atom

abc: 3.819 8.770 10.357
angles: 89.32 100.63 90.00
Site moments in Bohr magnetons follow the coordinates.
Sites, in units of the cell vectors:
Er 0.000 0.225 0.000  -0.04
Br 0.148 0.231 0.296  0.00
Br 0.148 0.760 0.296  0.00
Br 0.852 0.240 0.704  0.00
Fe 0.500 0.000 0.000  0.57
Er 0.617 0.997 0.233  -0.03
Br 0.500 0.500 0.000  0.00
Er 0.383 0.003 0.767  -0.03
Br 0.852 0.769 0.704  0.00
Er 0.000 0.775 0.000  -0.04

12.
## ErFe2Br8 (GGA-PBE)

Data for an optimized crystal structure of ErFe2Br8.

Raw total energy   -45.3 eV/cell
Formation energy (no corrections)   -0.952 eV/atom

abc: 6.543 8.155 8.155
angles: 78.79 86.62 86.62
Site moments in Bohr magnetons follow the coordinates.
Sites, in units of the cell vectors:
Br 0.231 0.282 0.913  0.11
Fe 0.356 0.195 0.195  3.53
Er 0.000 0.000 0.000  0.00
Br 0.768 0.630 0.630  0.24
Br 0.232 0.370 0.370  0.24
Br 0.769 0.718 0.087  0.11
Br 0.231 0.913 0.282  0.11
Br 0.728 0.186 0.186  0.10
Br 0.769 0.087 0.718  0.11
Br 0.272 0.814 0.814  0.10
Fe 0.644 0.805 0.805  3.53

13.
## Er2GaBr (GGA-PBE)

Data for an optimized crystal structure of Er2GaBr.

Raw total energy   -16.9 eV/cell
Formation energy (no corrections)   -0.777 eV/atom
E above lowest polymorph   0 meV per atom

abc: 4.171 4.171 7.347
angles: 73.51 73.51 60.00
Sites, in units of the cell vectors:
Ga 0.000 0.000 0.000
Er 0.262 0.262 0.213
Br 0.500 0.500 0.500
Er 0.738 0.738 0.787

14.
## ErGa3Br6 (GGA-PBE)

Data for an optimized crystal structure of ErGa3Br6.

Raw total energy   -68.7 eV/cell
Formation energy (no corrections)   -1.066 eV/atom

abc: 7.379 8.376 10.951
angles: 90.00 92.81 90.00
Sites, in units of the cell vectors:
Ga 0.482 0.093 0.794
Ga 0.982 0.407 0.294
Br 0.667 0.225 0.415
Ga 0.000 0.000 0.500
Br 0.360 0.566 0.264
Er 0.500 0.500 0.500
Br 0.167 0.275 0.915
Br 0.140 0.066 0.236
Br 0.833 0.725 0.085
Ga 0.018 0.593 0.706
Br 0.183 0.331 0.542
Ga 0.500 0.500 0.000
Br 0.817 0.669 0.458
Ga 0.518 0.907 0.206
Br 0.317 0.831 0.958
Br 0.860 0.934 0.764
Br 0.683 0.169 0.042
Br 0.333 0.775 0.585
Br 0.640 0.434 0.736
Er 0.000 0.000 0.000

15.
## ErGaBr (GGA-PBE)

Data for an optimized crystal structure of ErGaBr.

Raw total energy   -25.6 eV/cell
Formation energy (no corrections)   -1.183 eV/atom

abc: 4.099 4.099 11.576
angles: 90.16 100.04 120.00
Sites, in units of the cell vectors:
Er 0.882 0.440 0.321
Ga 0.312 0.156 0.468
Er 0.118 0.560 0.679
Br 0.446 0.721 0.167
Ga 0.688 0.844 0.532
Br 0.554 0.279 0.833

16.
## Er2GaBr (GGA-PBE)

Data for an optimized crystal structure of Er2GaBr.

Raw total energy   -16.7 eV/cell
Formation energy (no corrections)   -0.713 eV/atom
E above lowest polymorph   64 meV per atom

abc: 4.117 4.117 7.749
angles: 74.60 74.60 60.00
Sites, in units of the cell vectors:
Er 0.069 0.069 0.794
Br 0.497 0.497 0.510
Ga 0.668 0.668 0.995
Er 0.266 0.266 0.201

17.
## ErGa2Br5 (GGA-PBE)

Data for an optimized crystal structure of ErGa2Br5.

Raw total energy   -57.1 eV/cell
Formation energy (no corrections)   -1.194 eV/atom

abc: 7.713 10.842 8.848
angles: 64.33 64.16 69.16
Sites, in units of the cell vectors:
Br 0.183 0.249 0.002
Br 0.633 0.433 0.014
Er 0.951 0.283 0.814
Ga 0.299 0.011 0.331
Ga 0.601 0.557 0.299
Br 0.811 0.033 0.064
Br 0.566 0.749 0.502
Ga 0.358 0.511 0.831
Br 0.982 0.634 0.115
Br 0.091 0.533 0.564
Er 0.951 0.783 0.314
Br 0.270 0.134 0.615
Br 0.336 0.819 0.127
Br 0.920 0.933 0.514
Ga 0.544 0.057 0.799
Br 0.719 0.319 0.627

18.
## ErInGa2Br6 (GGA-PBE)

Data for an optimized crystal structure of ErInGa2Br6.

Raw total energy   -34.3 eV/cell
Formation energy (no corrections)   -1.092 eV/atom

abc: 7.800 7.799 8.290
angles: 61.93 61.92 59.99
Sites, in units of the cell vectors:
Br 0.398 0.698 0.768
Ga 0.518 0.518 0.447
Br 0.698 0.135 0.768
Ga 0.008 0.008 0.976
Br 0.965 0.566 0.236
Br 0.135 0.398 0.768
Br 0.566 0.233 0.235
Br 0.233 0.965 0.236
In 0.815 0.814 0.556
Er 0.325 0.325 0.024

19.
## Li2ErGaBr6 (GGA-PBE)

Data for an optimized crystal structure of Li2ErGaBr6.

Raw total energy   -35.9 eV/cell
Formation energy (no corrections)   -1.445 eV/atom

abc: 7.157 7.156 7.775
angles: 62.59 62.59 60.00
Sites, in units of the cell vectors:
Br 0.141 0.365 0.757
Li 0.007 0.007 0.979
Ga 0.812 0.812 0.565
Li 0.515 0.515 0.455
Br 0.366 0.737 0.757
Br 0.592 0.252 0.239
Br 0.252 0.917 0.239
Br 0.737 0.141 0.757
Er 0.324 0.324 0.028
Br 0.917 0.592 0.239

20.
## NaErGa2Br6 (GGA-PBE)

Data for an optimized crystal structure of NaErGa2Br6.

Raw total energy   -69.4 eV/cell
Formation energy (no corrections)   -1.273 eV/atom

abc: 7.375 8.103 10.834
angles: 90.00 87.56 90.00
Sites, in units of the cell vectors:
Ga 0.520 0.590 0.787
Ga 0.980 0.090 0.713
Br 0.174 0.214 0.077
Br 0.868 0.553 0.242
Br 0.815 0.823 0.544
Br 0.315 0.677 0.044
Br 0.326 0.714 0.423
Ga 0.480 0.410 0.213
Br 0.185 0.177 0.456
Br 0.674 0.286 0.577
Na 0.500 0.000 0.000
Br 0.826 0.786 0.923
Er 0.000 0.500 0.000
Na 0.000 0.500 0.500
Br 0.632 0.053 0.258
Br 0.132 0.447 0.758
Br 0.368 0.947 0.742
Ga 0.020 0.910 0.287
Er 0.500 0.000 0.500
Br 0.685 0.323 0.956